Density functional theory data (PBE with a Hubbard U) for a relaxed structure of Nb2CrO6.

CIF file:
```
data_Nb2CrO6
_cell_length_a 10.001
_cell_length_b 3.831
_cell_length_c 6.814
_cell_angle_alpha 90.00
_cell_angle_beta 114.74
_cell_angle_gamma 90.00
_symmetry_space_group_name_H-M 'C 1 2/m 1'
_symmetry_Int_Tables_number 12
loop_
_symmetry_equiv_pos_as_xyz
'x,y,z'
'-x,-y,-z'
'-x,y,-z'
'x,-y,z'
'x+1/2,y+1/2,z'
'-x+1/2,-y+1/2,-z'
'-x+1/2,y+1/2,-z'
'x+1/2,-y+1/2,z'
loop_
_atom_site_label
_atom_site_type_symbol
_atom_site_fract_x
_atom_site_fract_y
_atom_site_fract_z
Nb1 Nb 0.184 0.000 0.145
Cr1 Cr 0.000 0.000 0.500
O1 O 0.018 0.000 0.210
O2 O 0.152 0.500 0.598
O3 O 0.197 0.500 0.069
```

=====

Density functional theory data (PBE with a Hubbard U) for a relaxed structure of NbCr3O.

CIF file:
```
data_NbCr3O
_cell_length_a 4.241
_cell_length_b 4.241
_cell_length_c 4.241
_cell_angle_alpha 90.00
_cell_angle_beta 90.00
_cell_angle_gamma 90.00
_symmetry_space_group_name_H-M 'P m -3 m'
_symmetry_Int_Tables_number 221
_symmetry_space_group_name_Hall '-P 4 2 3'
loop_
_atom_site_label
_atom_site_type_symbol
_atom_site_fract_x
_atom_site_fract_y
_atom_site_fract_z
Nb1 Nb 0.000 0.000 0.000
Cr1 Cr 0.000 0.500 0.500
O1 O 0.500 0.500 0.500
```

=====

Density functional theory data (PBE with a Hubbard U) for a relaxed structure of NbCrO2.

CIF file:
```
data_NbCrO2
_cell_length_a 4.559
_cell_length_b 4.559
_cell_length_c 11.271
_cell_angle_alpha 90.00
_cell_angle_beta 90.00
_cell_angle_gamma 90.00
_symmetry_space_group_name_H-M 'I -4 2 d'
_symmetry_Int_Tables_number 122
_symmetry_space_group_name_Hall 'I -4 2bw'
loop_
_atom_site_label
_atom_site_type_symbol
_atom_site_fract_x
_atom_site_fract_y
_atom_site_fract_z
Nb1 Nb 0.000 0.000 0.000
Cr1 Cr 0.000 0.000 0.500
O1 O 0.194 0.250 0.125
```

=====

Density functional theory data (PBE with a Hubbard U) for a relaxed structure of NbCrO2.

CIF file:
```
data_NbCrO2
_cell_length_a 5.525
_cell_length_b 5.525
_cell_length_c 5.525
_cell_angle_alpha 90.00
_cell_angle_beta 90.00
_cell_angle_gamma 90.00
_symmetry_space_group_name_H-M 'F m -3 m'
_symmetry_Int_Tables_number 225
_symmetry_space_group_name_Hall '-F 4 2 3'
loop_
_atom_site_label
_atom_site_type_symbol
_atom_site_fract_x
_atom_site_fract_y
_atom_site_fract_z
Nb1 Nb 0.000 0.000 0.000
Cr1 Cr 0.000 0.000 0.500
O1 O 0.250 0.250 0.250
```

=====

Density functional theory data (PBE with a Hubbard U) for a relaxed structure of NbCr2O.

CIF file:
```
data_NbCr2O
_cell_length_a 6.267
_cell_length_b 6.267
_cell_length_c 6.267
_cell_angle_alpha 90.00
_cell_angle_beta 90.00
_cell_angle_gamma 90.00
_symmetry_space_group_name_H-M 'F m -3 m'
_symmetry_Int_Tables_number 225
_symmetry_space_group_name_Hall '-F 4 2 3'
loop_
_atom_site_label
_atom_site_type_symbol
_atom_site_fract_x
_atom_site_fract_y
_atom_site_fract_z
Nb1 Nb 0.000 0.000 0.000
Cr1 Cr 0.250 0.250 0.250
O1 O 0.000 0.000 0.500
```

=====

Density functional theory data (PBE with a Hubbard U) for a relaxed structure of NbCr2O.

CIF file:
```
data_NbCr2O
_cell_length_a 5.868
_cell_length_b 5.868
_cell_length_c 8.150
_cell_angle_alpha 90.00
_cell_angle_beta 90.00
_cell_angle_gamma 90.00
_symmetry_space_group_name_H-M 'I -4 2 d'
_symmetry_Int_Tables_number 122
_symmetry_space_group_name_Hall 'I -4 2bw'
loop_
_atom_site_label
_atom_site_type_symbol
_atom_site_fract_x
_atom_site_fract_y
_atom_site_fract_z
Nb1 Nb 0.000 0.000 0.000
Cr1 Cr 0.117 0.250 0.625
O1 O 0.000 0.000 0.500
```

=====

Density functional theory data (PBE with a Hubbard U) for a relaxed structure of NbCrO2.

CIF file:
```
data_NbCrO2
_cell_length_a 2.9537
_cell_length_b 2.9537
_cell_length_c 19.9749
_cell_angle_alpha 90.00
_cell_angle_beta 90.00
_cell_angle_gamma 120.00
_symmetry_space_group_name_H-M 'R -3 m'
_symmetry_Int_Tables_number 166
_symmetry_space_group_name_Hall '-R 3 2"'
loop_
_atom_site_label
_atom_site_type_symbol
_atom_site_fract_x
_atom_site_fract_y
_atom_site_fract_z
Nb1 Nb 0.0000 0.0000 0.0000
Cr1 Cr 0.0000 0.0000 0.5000
O1 O 0.0000 0.0000 0.4004
```

=====

Density functional theory data (PBE with a Hubbard U) for a relaxed structure of NbCr3O.

CIF file:
```
data_NbCr3O
_cell_length_a 4.918
_cell_length_b 4.918
_cell_length_c 4.918
_cell_angle_alpha 90.00
_cell_angle_beta 90.00
_cell_angle_gamma 90.00
_symmetry_space_group_name_H-M 'P m -3 m'
_symmetry_Int_Tables_number 221
_symmetry_space_group_name_Hall '-P 4 2 3'
loop_
_atom_site_label
_atom_site_type_symbol
_atom_site_fract_x
_atom_site_fract_y
_atom_site_fract_z
Nb1 Nb 0.000 0.000 0.000
Cr1 Cr 0.000 0.000 0.500
O1 O 0.500 0.500 0.500
```

=====

Short version: E above lowest polymorph = 0; 0; 277; 534; 778; 0; 0; 1878 meV per atom, in the order given.
Short version: V = 237.1; 76.3; 234.2; 168.6; 246.1; 280.6; 150.9; 119.0 Å³/cell, in the order given.